{
  "formula": "TlFeP2O",
  "functional": "PBE+U",
  "state": "optimized geometry",
  "de_polymorph_mev_per_atom": 0.0,
  "n_ef_per_ev_cell": 3.79,
  "lattice_angstrom": [[4.970, 0.000, 0.000], [0.000, 4.970, 0.000], [0.000, 0.000, 3.631]],
  "species": ["Tl", "Fe", "P", "P", "O"],
  "frac_coords": [[0.000, 0.000, 0.000], [0.500, 0.500, 0.500], [0.000, 0.500, 0.500], [0.500, 0.000, 0.500], [0.500, 0.500, 0.000]]
}